Record 1
Computed, not measured: crystalline CaTa2I at its relaxed geometry at the PBE level of DFT.

Geometry as CIF:
```
data_CaTa2I
_space_group_name_H-M_alt 'I -4 2 d'
_space_group_IT_number 122
_space_group_name_Hall 'I -4 2bw'
_cell_length_a 4.0608
_cell_length_b 4.0608
_cell_length_c 23.8727
_cell_angle_alpha 90.00
_cell_angle_beta 90.00
_cell_angle_gamma 90.00
loop_
_atom_site_label
_atom_site_type_symbol
_atom_site_fract_x
_atom_site_fract_y
_atom_site_fract_z
Ca1 Ca 0.0000 0.0000 0.0000
Ta1 Ta 0.2421 0.2500 0.1250
I1 I 0.0000 0.0000 0.5000
```

Computed properties:
E_form (uncorrected) (eV/f.u.): 3.046
E above lowest polymorph (kJ/mol of atoms): 0.0
Electronic total energy (eV per atom): -6.0528
Crystal system: tetragonal

=====

Record 2
Computed, not measured: crystalline Ce3Er2ThS6 at its relaxed geometry at the PBE level of DFT.

Geometry as CIF:
```
data_Ce3Er2ThS6
_space_group_name_H-M_alt 'C 1 2/m 1'
_space_group_IT_number 12
_space_group_name_Hall '-C 2y'
_cell_length_a 6.8850
_cell_length_b 11.9238
_cell_length_c 6.8930
_cell_angle_alpha 90.00
_cell_angle_beta 109.46
_cell_angle_gamma 90.00
loop_
_atom_site_label
_atom_site_type_symbol
_atom_site_fract_x
_atom_site_fract_y
_atom_site_fract_z
Ce1 Ce 0.0000 0.0000 0.0000
Ce2 Ce 0.0000 0.3367 0.0000
Er1 Er 0.0000 0.1670 0.5000
Th1 Th 0.0000 0.5000 0.5000
S1 S 0.2356 0.0000 0.7375
S2 S 0.2479 0.1716 0.2586
```

Computed properties:
E_form (uncorrected) (eV/f.u.): -23.800
Electronic total energy (eV per atom): -6.9093
Crystal system: monoclinic

=====

Record 3
Computed, not measured: crystalline Cr3Fe2 at its relaxed geometry at the PBE level of DFT.

Geometry as CIF:
```
data_Cr3Fe2
_space_group_name_H-M_alt 'R -3 m'
_space_group_IT_number 166
_space_group_name_Hall '-R 3 2"'
_cell_length_a 2.4924
_cell_length_b 2.4924
_cell_length_c 31.1173
_cell_angle_alpha 90.00
_cell_angle_beta 90.00
_cell_angle_gamma 120.00
loop_
_atom_site_label
_atom_site_type_symbol
_atom_site_fract_x
_atom_site_fract_y
_atom_site_fract_z
Cr1 Cr 0.0000 0.0000 0.0000
Cr2 Cr 0.0000 0.0000 0.2023
Fe1 Fe 0.0000 0.0000 0.3994
```

Computed properties:
Electronic total energy (eV per atom): -8.9338
DFT formation energy (eV/atom): 0.225
Crystal system: trigonal

=====

Record 4
Computed, not measured: crystalline CaTaAs2 at its relaxed geometry at the PBE level of DFT.

Geometry as CIF:
```
data_CaTaAs2
_space_group_name_H-M_alt 'F m -3 m'
_space_group_IT_number 225
_space_group_name_Hall '-F 4 2 3'
_cell_length_a 6.7882
_cell_length_b 6.7882
_cell_length_c 6.7882
_cell_angle_alpha 90.00
_cell_angle_beta 90.00
_cell_angle_gamma 90.00
loop_
_atom_site_label
_atom_site_type_symbol
_atom_site_fract_x
_atom_site_fract_y
_atom_site_fract_z
Ca1 Ca 0.0000 0.0000 0.0000
Ta1 Ta 0.0000 0.0000 0.5000
As1 As 0.2500 0.2500 0.2500
```

Computed properties:
E above lowest polymorph (kJ/mol of atoms): 44.6
Electronic total energy (eV per atom): -6.0591
DFT formation energy (eV/atom): -0.271
Crystal system: cubic

=====

Record 5
Computed, not measured: crystalline SeF at its relaxed geometry at the PBE level of DFT.

Geometry as CIF:
```
data_SeF
_space_group_name_H-M_alt 'F m -3 m'
_space_group_IT_number 225
_space_group_name_Hall '-F 4 2 3'
_cell_length_a 5.2201
_cell_length_b 5.2201
_cell_length_c 5.2201
_cell_angle_alpha 90.00
_cell_angle_beta 90.00
_cell_angle_gamma 90.00
loop_
_atom_site_label
_atom_site_type_symbol
_atom_site_fract_x
_atom_site_fract_y
_atom_site_fract_z
Se1 Se 0.0000 0.0000 0.0000
F1 F 0.0000 0.0000 0.5000
```

Computed properties:
E_form (uncorrected) (eV/f.u.): 0.579
E above lowest polymorph (kJ/mol of atoms): 130.7
Electronic total energy (eV per atom): -2.3883
Crystal system: cubic

=====

Record 6
Computed, not measured: crystalline CaNd2Ag at its relaxed geometry at the PBE level of DFT.

Geometry as CIF:
```
data_CaNd2Ag
_space_group_name_H-M_alt 'C m c m'
_space_group_IT_number 63
_space_group_name_Hall '-C 2c 2'
_cell_length_a 4.0965
_cell_length_b 12.7256
_cell_length_c 9.8171
_cell_angle_alpha 90.00
_cell_angle_beta 90.00
_cell_angle_gamma 90.00
loop_
_atom_site_label
_atom_site_type_symbol
_atom_site_fract_x
_atom_site_fract_y
_atom_site_fract_z
Ca1 Ca 0.0000 0.0563 0.2500
Nd1 Nd 0.0000 0.3618 0.0493
Ag1 Ag 0.0000 0.2434 0.7500
```

Computed properties:
E above lowest polymorph (kJ/mol of atoms): 0.0
Electronic total energy (eV per atom): -3.6834
DFT formation energy (eV/atom): -0.086
Crystal system: orthorhombic

=====

Record 7
Computed, not measured: crystalline HfCu3Br9 at its relaxed geometry at the PBE level of DFT.

Geometry as CIF:
```
data_HfCu3Br9
_space_group_name_H-M_alt 'C 1 c 1'
_space_group_IT_number 9
_space_group_name_Hall 'C -2yc'
_cell_length_a 18.8695
_cell_length_b 9.2457
_cell_length_c 12.7879
_cell_angle_alpha 90.00
_cell_angle_beta 126.65
_cell_angle_gamma 90.00
loop_
_atom_site_label
_atom_site_type_symbol
_atom_site_fract_x
_atom_site_fract_y
_atom_site_fract_z
Hf1 Hf 0.0000 0.2322 0.0000
Cu1 Cu 0.1370 0.1229 0.8363
Cu2 Cu 0.1913 0.3794 0.6432
Cu3 Cu 0.3606 0.0870 0.6575
Br1 Br 0.0001 0.3392 0.1913
Br2 Br 0.1211 0.0466 0.1631
Br3 Br 0.1509 0.3619 0.7796
Br4 Br 0.1512 0.3771 0.0715
Br5 Br 0.2530 0.2766 0.5512
Br6 Br 0.2879 0.1093 0.0093
Br7 Br 0.3724 0.4298 0.4236
Br8 Br 0.4105 0.0338 0.3647
Br9 Br 0.4983 0.3782 0.3036
```

Computed properties:
E_form (uncorrected) (eV/f.u.): -8.521
Electronic total energy (eV per atom): -3.5246
Crystal system: monoclinic

=====

Record 8
Computed, not measured: crystalline OsRh2 at its relaxed geometry at the PBE level of DFT.

Geometry as CIF:
```
data_OsRh2
_space_group_name_H-M_alt 'C 1 m 1'
_space_group_IT_number 8
_space_group_name_Hall 'C -2y'
_cell_length_a 9.9956
_cell_length_b 2.7328
_cell_length_c 6.4432
_cell_angle_alpha 90.00
_cell_angle_beta 104.22
_cell_angle_gamma 90.00
loop_
_atom_site_label
_atom_site_type_symbol
_atom_site_fract_x
_atom_site_fract_y
_atom_site_fract_z
Os1 Os 0.0000 0.0000 0.0000
Os2 Os 0.1591 0.5000 0.3222
Rh1 Rh 0.0546 0.0000 0.6049
Rh2 Rh 0.2177 0.5000 0.9418
Rh3 Rh 0.3307 0.0000 0.6638
Rh4 Rh 0.3846 0.0000 0.2734
```

Computed properties:
E above lowest polymorph (kJ/mol of atoms): 2.7
Electronic total energy (eV per atom): -8.5997
DFT formation energy (eV/atom): 0.044
Crystal system: monoclinic

=====

Record 9
Computed, not measured: crystalline Cu2NiPt9 at its relaxed geometry at the PBE level of DFT.

Geometry as CIF:
```
data_Cu2NiPt9
_space_group_name_H-M_alt 'P 4/m m m'
_space_group_IT_number 123
_space_group_name_Hall '-P 4 2'
_cell_length_a 3.8900
_cell_length_b 3.8900
_cell_length_c 11.7133
_cell_angle_alpha 90.00
_cell_angle_beta 90.00
_cell_angle_gamma 90.00
loop_
_atom_site_label
_atom_site_type_symbol
_atom_site_fract_x
_atom_site_fract_y
_atom_site_fract_z
Cu1 Cu 0.0000 0.0000 0.1671
Ni1 Ni 0.0000 0.0000 0.5000
Pt1 Pt 0.0000 0.5000 0.0000
Pt2 Pt 0.0000 0.5000 0.3346
Pt3 Pt 0.5000 0.5000 0.1670
Pt4 Pt 0.5000 0.5000 0.5000
```

Computed properties:
Electronic total energy (eV per atom): -5.7964
DFT formation energy (eV/atom): -0.101
Crystal system: tetragonal

=====

Record 10
Computed, not measured: crystalline Sr2CoSb at its relaxed geometry at the PBE level of DFT.

Geometry as CIF:
```
data_Sr2CoSb
_space_group_name_H-M_alt 'I -4 2 d'
_space_group_IT_number 122
_space_group_name_Hall 'I -4 2bw'
_cell_length_a 11.1843
_cell_length_b 11.1843
_cell_length_c 4.7722
_cell_angle_alpha 90.00
_cell_angle_beta 90.00
_cell_angle_gamma 90.00
loop_
_atom_site_label
_atom_site_type_symbol
_atom_site_fract_x
_atom_site_fract_y
_atom_site_fract_z
Sr1 Sr 0.0685 0.2500 0.1250
Co1 Co 0.0000 0.0000 0.0000
Sb1 Sb 0.0000 0.0000 0.5000
```

Computed properties:
E_form (uncorrected) (eV/f.u.): -0.711
Electronic total energy (eV per atom): -3.8258
Crystal system: tetragonal

=====

Record 11
Computed, not measured: crystalline Zr3NiCl at its relaxed geometry at the PBE level of DFT.

Geometry as CIF:
```
data_Zr3NiCl
_space_group_name_H-M_alt 'P m -3 m'
_space_group_IT_number 221
_space_group_name_Hall '-P 4 2 3'
_cell_length_a 4.7305
_cell_length_b 4.7305
_cell_length_c 4.7305
_cell_angle_alpha 90.00
_cell_angle_beta 90.00
_cell_angle_gamma 90.00
loop_
_atom_site_label
_atom_site_type_symbol
_atom_site_fract_x
_atom_site_fract_y
_atom_site_fract_z
Zr1 Zr 0.0000 0.0000 0.5000
Ni1 Ni 0.5000 0.5000 0.5000
Cl1 Cl 0.0000 0.0000 0.0000
```

Computed properties:
E_form (uncorrected) (eV/f.u.): 1.170
E above lowest polymorph (kJ/mol of atoms): 0.0
Electronic total energy (eV per atom): -6.4205
Crystal system: cubic

=====

Record 12
Computed, not measured: crystalline La3GaI3 at its relaxed geometry at the PBE level of DFT.

Geometry as CIF:
```
data_La3GaI3
_space_group_name_H-M_alt 'C 1 2/m 1'
_space_group_IT_number 12
_space_group_name_Hall '-C 2y'
_cell_length_a 9.2932
_cell_length_b 15.0172
_cell_length_c 7.7800
_cell_angle_alpha 90.00
_cell_angle_beta 103.85
_cell_angle_gamma 90.00
loop_
_atom_site_label
_atom_site_type_symbol
_atom_site_fract_x
_atom_site_fract_y
_atom_site_fract_z
La1 La 0.0900 0.0000 0.2013
La2 La 0.2026 0.3617 0.1855
Ga1 Ga 0.1322 0.0000 0.5848
I1 I 0.0000 0.1895 0.0000
I2 I 0.0000 0.2763 0.5000
I3 I 0.0745 0.5000 0.8129
```

Computed properties:
E_form (uncorrected) (eV/f.u.): -5.201
Electronic total energy (eV per atom): -3.9515
Crystal system: monoclinic